Record 1
This record from Alexandria via LeMat-Bulk describes an optimized crystal structure of K3Y2HoO6. The functional is GGA-PBE.

Final energy, eV per atom: -6.97
Crystal system: monoclinic
ρ, kg/m3: 4683
E_form (uncorrected), eV/atom: -2.758
Spin magnetization, μB per atom: 0.00

a b c (Å): 6.030 10.444 6.576
angles (deg): 90.00 107.80 90.00
Space group C2/m (No. 12)
Symmetry-distinct sites (fractional):
K 0.000 0.000 0.000
K 0.000 0.334 0.000
Y 0.000 0.167 0.500
Ho 0.000 0.500 0.500
O 0.228 0.334 0.686
O 0.231 0.000 0.686


Record 2
This record from Alexandria via LeMat-Bulk describes an optimized crystal structure of NiPd2I8. The functional is GGA-PBE.

Final energy, eV per atom: -2.71
Crystal system: triclinic
ρ, kg/m3: 4505
E_form (uncorrected), eV/atom: -0.117
Spin magnetization, μB per atom: 0.01

a b c (Å): 7.054 7.814 9.928
angles (deg): 109.09 94.91 109.88
Space group P-1 (No. 2)
Symmetry-distinct sites (fractional):
Ni 0.000 0.000 0.000
Pd 0.195 0.394 0.398
I 0.048 0.423 0.651
I 0.108 0.991 0.769
I 0.274 0.333 0.121
I 0.454 0.240 0.474


Record 3
This record from Alexandria via LeMat-Bulk describes an optimized crystal structure of TaFeOs2I. The functional is GGA-PBE.

Final energy, eV per atom: -6.18
Crystal system: tetragonal
ρ, kg/m3: 10960
E_form (uncorrected), eV/atom: 2.690
Spin magnetization, μB per atom: 0.47

a b c (Å): 4.769 4.769 4.958
angles (deg): 90.00 90.00 90.00
Space group P4/mmm (No. 123)
Symmetry-distinct sites (fractional):
Ta 0.000 0.000 0.000
Fe 0.500 0.500 0.000
Os 0.000 0.500 0.500
I 0.000 0.000 0.500


Record 4
This record from Alexandria via LeMat-Bulk describes an optimized crystal structure of Rb3Ce3PdO8. The functional is GGA-PBE.

Final energy, eV per atom: -6.72
Crystal system: monoclinic
ρ, kg/m3: 5283
E_form (uncorrected), eV/atom: -2.349
Spin magnetization, μB per atom: 0.08

a b c (Å): 12.791 6.864 7.689
angles (deg): 90.00 121.95 90.00
Space group C2/m (No. 12)
Symmetry-distinct sites (fractional):
Rb 0.000 0.000 0.000
Rb 0.250 0.250 0.000
Ce 0.000 0.500 0.500
Ce 0.250 0.250 0.500
Pd 0.000 0.000 0.500
O 0.033 0.229 0.353
O 0.214 0.500 0.293
O 0.221 0.500 0.681


Record 5
This record from Alexandria via LeMat-Bulk describes an optimized crystal structure of YMn2Rh. The functional is GGA-PBE.

Final energy, eV per atom: -7.63
Crystal system: trigonal
ρ, kg/m3: 6767
E_form, meV/atom: 406
Spin magnetization, μB per atom: 2.05

a b c (Å): 3.0575 3.0575 27.4321
angles (deg): 90.00 90.00 120.00
Space group R-3m (No. 166, hexagonal axes)
Symmetry-distinct sites (fractional):
Y 0.0000 0.0000 0.0000
Mn 0.0000 0.0000 0.2380
Rh 0.0000 0.0000 0.5000


Record 6
This record from Alexandria via LeMat-Bulk describes an optimized crystal structure of PaVIr2. The functional is GGA-PBE.

Final energy, eV per atom: -9.64
Crystal system: tetragonal
ρ, kg/m3: 15965
Relative energy among the computed polymorphs, meV/atom: 0.0
E_form, meV/atom: -556
Spin magnetization, μB per atom: 0.65

a b c (Å): 4.177 4.177 3.973
angles (deg): 90.00 90.00 90.00
Space group P4/mmm (No. 123)
Symmetry-distinct sites (fractional):
Pa 0.000 0.000 0.000
V 0.500 0.500 0.000
Ir 0.000 0.500 0.500


Record 7
This record from Alexandria via LeMat-Bulk describes an optimized crystal structure of Ac2CuSbS6. The functional is GGA-PBE.

Final energy, eV per atom: -5.28
Crystal system: monoclinic
ρ, kg/m3: 5911
E_form (uncorrected), eV/atom: -1.158
Spin magnetization, μB per atom: 0.00

a b c (Å): 6.550 7.363 11.615
angles (deg): 90.00 123.48 90.00
Space group P2_1/c (No. 14)
Symmetry-distinct sites (fractional):
Ac 0.213 0.100 0.250
Cu 0.000 0.000 0.500
Sb 0.500 0.000 0.000
S 0.135 0.187 0.955
S 0.263 0.684 0.958
S 0.332 0.003 0.744


Record 8
This record from Alexandria via LeMat-Bulk describes an optimized crystal structure of MnCo2Au. The functional is GGA-PBE.

Final energy, eV per atom: -6.39
Crystal system: orthorhombic
ρ, kg/m3: 11292
E_form, meV/atom: 271
Spin magnetization, μB per atom: 1.61

a b c (Å): 3.046 4.304 8.295
angles (deg): 90.00 90.00 90.00
Space group Cmmm (No. 65)
Symmetry-distinct sites (fractional):
Mn 0.000 0.000 0.000
Co 0.000 0.500 0.229
Au 0.000 0.000 0.500


Record 9
This record from Alexandria via LeMat-Bulk describes an optimized crystal structure of SrCa6Mg2. The functional is GGA-PBE.

Final energy, eV per atom: -1.84
Crystal system: tetragonal
ρ, kg/m3: 1721
Relative energy among the computed polymorphs, meV/atom: 54.4
E_form, meV/atom: 40
Spin magnetization, μB per atom: 0.00

a b c (Å): 5.301 5.301 12.939
angles (deg): 90.00 90.00 90.00
Space group P4/mmm (No. 123)
Symmetry-distinct sites (fractional):
Sr 0.000 0.000 0.000
Ca 0.000 0.000 0.500
Ca 0.000 0.500 0.275
Ca 0.500 0.500 0.500
Mg 0.500 0.500 0.112


Record 10
This record from Alexandria via LeMat-Bulk describes an optimized crystal structure of Zr2Al3Si3. The functional is GGA-PBE.

Final energy, eV per atom: -5.65
Crystal system: hexagonal
ρ, kg/m3: 3935
Relative energy among the computed polymorphs, meV/atom: 280.1
E_form (uncorrected), eV/atom: -0.072
Spin magnetization, μB per atom: 0.00

a b c (Å): 6.8602 6.8602 3.5995
angles (deg): 90.00 90.00 120.00
Space group P-62m (No. 189)
Symmetry-distinct sites (fractional):
Zr 0.3333 0.6667 0.0000
Al 0.0000 0.3297 0.5000
Si 0.0000 0.7798 0.0000


Record 11
This record from Alexandria via LeMat-Bulk describes an optimized crystal structure of KSm2DySe4. The functional is GGA-PBE.

Final energy, eV per atom: -5.35
Crystal system: monoclinic
ρ, kg/m3: 6348
E_form (uncorrected), eV/atom: -1.720
Spin magnetization, μB per atom: 0.00

a b c (Å): 7.347 4.168 7.373
angles (deg): 90.00 108.56 90.00
Space group P2/m (No. 10)
Symmetry-distinct sites (fractional):
K 0.000 0.000 0.000
Sm 0.500 0.000 0.500
Sm 0.500 0.500 0.000
Dy 0.000 0.500 0.500
Se 0.249 0.000 0.739
Se 0.260 0.500 0.267


Record 12
This record from Alexandria via LeMat-Bulk describes an optimized crystal structure of PaCuPb. The functional is GGA-PBE.

Final energy, eV per atom: -5.64
Crystal system: orthorhombic
ρ, kg/m3: 12596
Relative energy among the computed polymorphs, meV/atom: 25.2
E_form, meV/atom: 127
Spin magnetization, μB per atom: 0.00

a b c (Å): 7.933 3.912 8.526
angles (deg): 90.00 90.00 90.00
Space group Pnma (No. 62)
Symmetry-distinct sites (fractional):
Pa 0.005 0.250 0.116
Cu 0.194 0.750 0.377
Pb 0.152 0.250 0.597